1.
ZrCrIn2: optimized geometry, PBE.

Cell lengths 5.397, 5.397, 3.097 Å; angles 90.08, 90.08, 110.99 degrees
Fractional coordinates of all 4 atoms:
1 Zr 0.000 0.000 0.000
2 Cr 0.500 0.500 0.000
3 In 0.000 0.500 0.500
4 In 0.500 0.000 0.500

Results
Raw total energy: -23.23 eV per cell
Calculated formation energy: 0.104 eV per atom
Relative energy among the computed polymorphs: 32.3 kJ/mol of formula units

=====

2.
ZrCr2In: optimized geometry, PBE.

Cell lengths 2.868, 2.868, 8.732 Å; angles 90.00, 90.00, 108.84 degrees
Fractional coordinates of all 4 atoms:
1 Zr 0.000 0.000 0.000
2 Cr 0.500 0.500 0.247
3 Cr 0.500 0.500 0.753
4 In 0.000 0.000 0.500

Results
Raw total energy: -28.30 eV per cell
Calculated formation energy: 0.558 eV per atom

=====

3.
Zr2CrIn: optimized geometry, PBE.

Cell lengths 9.191, 9.191, 9.191 Å; angles 20.41, 20.41, 20.41 degrees
Fractional coordinates of all 4 atoms:
1 Zr 0.237 0.237 0.237
2 Zr 0.763 0.763 0.763
3 Cr 0.500 0.500 0.500
4 In 0.000 0.000 0.000

Results
Raw total energy: -28.91 eV per cell
Calculated formation energy: 0.136 eV per atom